DFT (PBE with a Hubbard U) results for a geometry-optimized Li2ScVO4 structure.

Its calculated volume is 79.51 Å³/f.u. Its raw total energy is -7.21 eV per atom.

Cell lengths 5.240, 3.056, 5.276 Å; angles 90.00, 109.80, 90.00 degrees
Fractional positions:
Li: 0.000 0.000 0.000
Li: 0.000 0.500 0.500
Sc: 0.500 0.000 0.500
V: 0.500 0.500 0.000
O: 0.269 0.500 0.252
O: 0.271 0.000 0.764
O: 0.729 0.000 0.236
O: 0.731 0.500 0.748